Entry 1:
# La2InRhO6 PBE relaxed
data_La2InRhO6
_chemical_formula_sum 'La4 In2 Rh2 O12'
_cell_length_a 5.6677
_cell_length_b 5.9295
_cell_length_c 9.8216
_cell_angle_alpha 90.00
_cell_angle_beta 124.31
_cell_angle_gamma 90.00
_symmetry_space_group_name_H-M 'P 1 21/c 1'
_symmetry_Int_Tables_number 14
loop_
_symmetry_equiv_pos_as_xyz
'x,y,z'
'-x,-y,-z'
'-x,y+1/2,-z+1/2'
'x,-y+1/2,z+1/2'
loop_
_atom_site_label
_atom_site_type_symbol
_atom_site_fract_x
_atom_site_fract_y
_atom_site_fract_z
La1 La 0.2316 0.0609 0.2500
In1 In 0.5000 0.0000 0.0000
Rh1 Rh 0.0000 0.0000 0.5000
O1 O 0.1305 0.2046 0.9418
O2 O 0.2434 0.6957 0.9442
O3 O 0.3533 0.0390 0.7432
# Raw formation energy, eV per atom: -2.301
# Total energy, eV/cell: -145.41
# Magnetization, Bohr magnetons per cell: 0.000

=====

Entry 2:
# LaIn2RuO8 PBE relaxed
data_LaIn2RuO8
_chemical_formula_sum 'La1 In2 Ru1 O8'
_cell_length_a 4.9510
_cell_length_b 6.8124
_cell_length_c 4.9581
_cell_angle_alpha 90.00
_cell_angle_beta 90.43
_cell_angle_gamma 90.00
_symmetry_space_group_name_H-M 'P 1 2/m 1'
_symmetry_Int_Tables_number 10
loop_
_symmetry_equiv_pos_as_xyz
'x,y,z'
'-x,-y,-z'
'-x,y,-z'
'x,-y,z'
loop_
_atom_site_label
_atom_site_type_symbol
_atom_site_fract_x
_atom_site_fract_y
_atom_site_fract_z
La1 La 0.0000 0.0000 0.0000
In1 In 0.5000 0.2585 0.5000
Ru1 Ru 0.0000 0.5000 0.0000
O1 O 0.1882 0.2990 0.8132
O2 O 0.2842 0.5000 0.2853
O3 O 0.3194 0.0000 0.3209
# Raw formation energy, eV per atom: -1.517
# D(E_F), states/eV/f.u.: 5.50
# Total energy, eV/cell: -77.55
# Magnetization, Bohr magnetons per cell: 1.258

=====

Q: The highest total energy belongs to which entry?
A: LaIn2RuO8